1.
# Pr3PtBr3

A geometry-optimized Pr3PtBr3 structure (GGA-PBE, the Alexandria database).

a b c (Å): 12.270 12.270 12.270
angles (deg): 90.00 90.00 90.00
Space group I4_132 (No. 214)
Unique sites:
Pr: 0.110 0.360 0.125 x24
Pt: 0.125 0.125 0.125 x8
Br: 0.121 0.129 0.625 x24

Output
Calculated volume = 33.0 A^3/atom
Uncorrected formation energy = -143 kJ per mole of atoms
Fermi-level density of states = 4.0 states/eV/f.u.



2.
# LuThTe

A geometry-optimized LuThTe structure (GGA-PBE, the Alexandria database).

a b c (Å): 3.829 3.829 12.078
angles (deg): 90.00 90.00 90.00
Space group I4mm (No. 107)
Unique sites:
Lu: 0.000 0.000 0.000 x2
Th: 0.000 0.000 0.691 x2
Te: 0.000 0.000 0.364 x2

Output
Calculated volume = 29.5 A^3/atom
Uncorrected formation energy = -58 kJ per mole of atoms
Fermi-level density of states = 3.3 states/eV/f.u.



3.
# TaFeAg

A geometry-optimized TaFeAg structure (GGA-PBE, the Alexandria database).

a b c (Å): 3.169 3.169 9.376
angles (deg): 90.00 90.00 90.00
Space group I4mm (No. 107)
Unique sites:
Ta: 0.000 0.000 0.000 x2
Fe: 0.000 0.000 0.378 x2
Ag: 0.000 0.000 0.696 x2

Output
Calculated volume = 15.7 A^3/atom
Fermi-level density of states = 2.1 states/eV/f.u.
ΔH_f (0 K) = 0.236 eV/atom



4.
# Mg6SnRh

A geometry-optimized Mg6SnRh structure (GGA-PBE, the Alexandria database).

a b c (Å): 6.276 10.821 6.216
angles (deg): 90.00 119.85 90.00
Space group C2/m (No. 12)
Unique sites:
Mg: 0.014 0.214 0.241 x8
Mg: 0.039 0.500 0.770 x4
Sn: 0.000 0.000 0.500 x2
Rh: 0.000 0.000 0.000 x2

Output
Calculated volume = 22.9 A^3/atom
Fermi-level density of states = 2.6 states/eV/f.u.
ΔH_f (0 K) = -0.003 eV/atom



5.
# PmH6Pd2Rh

A geometry-optimized PmH6Pd2Rh structure (GGA-PBE, the Alexandria database).

a b c (Å): 4.734 8.650 4.648
angles (deg): 90.00 90.00 90.00
Space group Pnnm (No. 58)
Unique sites:
Pm: 0.000 0.000 0.000 x2
H: 0.146 0.356 0.232 x8
H: 0.177 0.087 0.500 x4
Pd: 0.060 0.747 0.500 x4
Rh: 0.000 0.500 0.000 x2

Output
Calculated volume = 9.5 A^3/atom
Fermi-level density of states = 1.5 states/eV/f.u.
VASP energy = -4.619 eV per atom



6.
# Li2LaBeIr

A geometry-optimized Li2LaBeIr structure (GGA-PBE, the Alexandria database).

a b c (Å): 4.367 4.367 4.553
angles (deg): 90.00 90.00 90.00
Space group P4/mmm (No. 123)
Unique sites:
Li: 0.000 0.500 0.000 x2
La: 0.000 0.000 0.500 x1
Be: 0.500 0.500 0.000 x1
Ir: 0.500 0.500 0.500 x1

Output
Calculated volume = 17.4 A^3/atom
Fermi-level density of states = 2.0 states/eV/f.u.
ΔH_f (0 K) = -0.157 eV/atom



7.
# SrSc2W

A geometry-optimized SrSc2W structure (GGA-PBE, the Alexandria database).

a b c (Å): 9.834 3.078 6.967
angles (deg): 90.00 92.52 90.00
Space group Cm (No. 8)
Unique sites:
Sr: 0.000 0.000 0.000 x2
Sc: 0.006 0.500 0.560 x2
Sc: 0.260 0.500 0.346 x2
W: 0.244 0.000 0.688 x2

Output
Calculated volume = 26.3 A^3/atom
Fermi-level density of states = 3.0 states/eV/f.u.
ΔH_f (0 K) = 0.576 eV/atom



8.
# NaMoPd3

A geometry-optimized NaMoPd3 structure (GGA-PBE, the Alexandria database).

a b c (Å): 4.860 4.860 4.860
angles (deg): 90.00 90.00 90.00
Space group Pm-3m (No. 221)
Unique sites:
Na: 0.000 0.000 0.000 x1
Mo: 0.500 0.500 0.500 x1
Pd: 0.000 0.500 0.500 x3

Output
Calculated volume = 23.0 A^3/atom
Fermi-level density of states = 4.5 states/eV/f.u.
ΔH_f (0 K) = 0.745 eV/atom



9.
# LaPuSi2

A geometry-optimized LaPuSi2 structure (GGA-PBE, the Alexandria database).

a b c (Å): 3.887 4.404 11.120
angles (deg): 90.00 90.00 90.00
Space group Amm2 (No. 38)
Unique sites:
La: 0.000 0.000 0.000 x2
Pu: 0.500 0.000 0.290 x2
Si: 0.000 0.000 0.717 x2
Si: 0.500 0.000 0.583 x2

Output
Calculated volume = 23.8 A^3/atom
Uncorrected formation energy = -54 kJ per mole of atoms
Fermi-level density of states = 9.9 states/eV/f.u.



10.
# ZnWBr2

A geometry-optimized ZnWBr2 structure (GGA-PBE, the Alexandria database).

a b c (Å): 3.098 5.994 10.690
angles (deg): 90.00 90.00 90.00
Space group Cmmm (No. 65)
Unique sites:
Zn: 0.000 0.000 0.000 x2
W: 0.000 0.000 0.500 x2
Br: 0.000 0.500 0.306 x4

Output
Calculated volume = 24.8 A^3/atom
Uncorrected formation energy = 49 kJ per mole of atoms
Fermi-level density of states = 1.8 states/eV/f.u.



11.
# TaBeSb2

A geometry-optimized TaBeSb2 structure (GGA-PBE, the Alexandria database).

a b c (Å): 3.4835 3.4835 22.3826
angles (deg): 90.00 90.00 120.00
Space group R-3m (No. 166, hexagonal axes)
Unique sites:
Ta: 0.0000 0.0000 0.0000 x3
Be: 0.0000 0.0000 0.5000 x3
Sb: 0.0000 0.0000 0.2418 x6

Output
Calculated volume = 19.6 A^3/atom
Uncorrected formation energy = 30 kJ per mole of atoms
Fermi-level density of states = 1.8 states/eV/f.u.



12.
# CoSb2Pt

A geometry-optimized CoSb2Pt structure (GGA-PBE, the Alexandria database).

a b c (Å): 6.534 6.688 3.405
angles (deg): 90.00 90.00 90.00
Space group Cmmm (No. 65)
Unique sites:
Co: 0.000 0.000 0.000 x2
Sb: 0.250 0.250 0.500 x4
Pt: 0.000 0.500 0.000 x2

Output
Calculated volume = 18.6 A^3/atom
Uncorrected formation energy = 14 kJ per mole of atoms
Fermi-level density of states = 4.9 states/eV/f.u.



13.
# MgPb3O

A geometry-optimized MgPb3O structure (GGA-PBE, the Alexandria database).

a b c (Å): 5.432 5.432 5.432
angles (deg): 90.00 90.00 90.00
Space group Pm-3m (No. 221)
Unique sites:
Mg: 0.000 0.000 0.000 x1
Pb: 0.000 0.000 0.500 x3
O: 0.500 0.500 0.500 x1

Output
Calculated volume = 32.1 A^3/atom
Uncorrected formation energy = 71 kJ per mole of atoms
Fermi-level density of states = 3.5 states/eV/f.u.



14.
# RbAlO2

A geometry-optimized RbAlO2 structure (GGA-PBE, the Alexandria database).

a b c (Å): 6.359 2.908 14.278
angles (deg): 90.00 90.00 90.00
Space group Pnma (No. 62)
Unique sites:
Rb: 0.124 0.250 0.167 x4
Al: 0.120 0.750 0.436 x4
O: 0.162 0.250 0.532 x4
O: 0.178 0.250 0.359 x4

Output
Calculated volume = 16.5 A^3/atom
Uncorrected formation energy = -214 kJ per mole of atoms
Fermi-level density of states = 0.0 states/eV/f.u.



15.
# NaBSb2Te

A geometry-optimized NaBSb2Te structure (GGA-PBE, the Alexandria database).

a b c (Å): 5.809 5.809 5.527
angles (deg): 90.00 90.00 90.00
Space group P4/mmm (No. 123)
Unique sites:
Na: 0.000 0.000 0.000 x1
B: 0.500 0.500 0.000 x1
Sb: 0.000 0.500 0.500 x2
Te: 0.000 0.000 0.500 x1

Output
Calculated volume = 37.3 A^3/atom
Uncorrected formation energy = 128 kJ per mole of atoms
Fermi-level density of states = 3.3 states/eV/f.u.



16.
# Ba2ZnBiN

A geometry-optimized Ba2ZnBiN structure (GGA-PBE, the Alexandria database).

a b c (Å): 6.032 6.032 3.968
angles (deg): 90.00 90.00 90.00
Space group P4/mmm (No. 123)
Unique sites:
Ba: 0.000 0.500 0.000 x2
Zn: 0.000 0.000 0.500 x1
Bi: 0.500 0.500 0.500 x1
N: 0.000 0.000 0.000 x1

Output
Calculated volume = 28.9 A^3/atom
Uncorrected formation energy = -46 kJ per mole of atoms
Fermi-level density of states = 1.3 states/eV/f.u.



17.
# LaNdIO6

A geometry-optimized LaNdIO6 structure (GGA-PBE, the Alexandria database).

a b c (Å): 5.8712 5.8712 9.6043
angles (deg): 90.00 90.00 120.00
Space group P-31c (No. 163)
Unique sites:
La: 0.3333 0.6667 0.2500 x2
Nd: 0.0000 0.0000 0.0000 x2
I: 0.3333 0.6667 0.7500 x2
O: 0.0522 0.3729 0.6342 x12

Output
Calculated volume = 15.9 A^3/atom
Uncorrected formation energy = -190 kJ per mole of atoms
Fermi-level density of states = 4.1 states/eV/f.u.



18.
# PuTc2Ge2

A geometry-optimized PuTc2Ge2 structure (GGA-PBE, the Alexandria database).

a b c (Å): 21.720 4.139 4.200
angles (deg): 90.00 100.73 90.00
Space group C2/m (No. 12)
Unique sites:
Pu: 0.154 0.000 0.393 x4
Tc: 0.035 0.000 0.783 x4
Tc: 0.038 0.500 0.288 x4
Ge: 0.109 0.500 0.858 x4
Ge: 0.226 0.500 0.847 x4

Output
Calculated volume = 18.5 A^3/atom
Fermi-level density of states = 11.2 states/eV/f.u.
ΔH_f (0 K) = -0.308 eV/atom



19.
# Tl2SbIr

A geometry-optimized Tl2SbIr structure (GGA-PBE, the Alexandria database).

a b c (Å): 4.537 4.544 9.215
angles (deg): 90.00 90.00 90.00
Space group Cmmm (No. 65)
Unique sites:
Tl: 0.000 0.000 0.201 x4
Sb: 0.000 0.500 0.500 x2
Ir: 0.000 0.500 0.000 x2

Output
Calculated volume = 23.7 A^3/atom
Uncorrected formation energy = 42 kJ per mole of atoms
Fermi-level density of states = 2.3 states/eV/f.u.



20.
# Sm3SnTe2

A geometry-optimized Sm3SnTe2 structure (GGA-PBE, the Alexandria database).

a b c (Å): 4.485 6.305 13.377
angles (deg): 90.00 90.00 90.00
Space group Immm (No. 71)
Unique sites:
Sm: 0.000 0.000 0.000 x2
Sm: 0.000 0.000 0.340 x4
Sn: 0.000 0.500 0.000 x2
Te: 0.000 0.500 0.332 x4

Output
Calculated volume = 31.5 A^3/atom
Uncorrected formation energy = -119 kJ per mole of atoms
Fermi-level density of states = 2.1 states/eV/f.u.



21.
# TaTiO5

A geometry-optimized TaTiO5 structure (GGA-PBE, the Alexandria database).

a b c (Å): 3.761 6.443 7.676
angles (deg): 90.00 90.00 90.00
Space group Immm (No. 71)
Unique sites:
Ta: 0.000 0.000 0.000 x2
Ti: 0.000 0.000 0.500 x2
O: 0.000 0.000 0.261 x4
O: 0.000 0.314 0.000 x4
O: 0.000 0.500 0.500 x2

Output
Calculated volume = 13.3 A^3/atom
Uncorrected formation energy = -226 kJ per mole of atoms
Fermi-level density of states = 3.3 states/eV/f.u.



22.
# HfNiH2

A geometry-optimized HfNiH2 structure (GGA-PBE, the Alexandria database).

a b c (Å): 3.3853 3.3853 12.3421
angles (deg): 90.00 90.00 120.00
Space group R-3m (No. 166, hexagonal axes)
Unique sites:
Hf: 0.0000 0.0000 0.0000 x3
Ni: 0.0000 0.0000 0.5000 x3
H: 0.0000 0.0000 0.3700 x6

Output
Calculated volume = 10.2 A^3/atom
Fermi-level density of states = 1.9 states/eV/f.u.
VASP energy = -5.812 eV per atom



23.
# CaAcPrZn

A geometry-optimized CaAcPrZn structure (GGA-PBE, the Alexandria database).

a b c (Å): 3.756 3.756 9.565
angles (deg): 90.00 90.00 90.00
Space group P4mm (No. 99)
Unique sites:
Ca: 0.000 0.000 0.000 x1
Ac: 0.500 0.500 0.327 x1
Pr: 0.000 0.000 0.619 x1
Zn: 0.500 0.500 0.807 x1

Output
Calculated volume = 33.7 A^3/atom
Fermi-level density of states = 5.1 states/eV/f.u.
ΔH_f (0 K) = -0.112 eV/atom



24.
# UTeSe2

A geometry-optimized UTeSe2 structure (GGA-PBE, the Alexandria database).

a b c (Å): 3.989 11.288 8.898
angles (deg): 90.00 90.00 90.00
Space group Cmcm (No. 63)
Unique sites:
U: 0.000 0.232 0.250 x4
Te: 0.000 0.064 0.750 x4
Se: 0.000 0.357 0.556 x8

Output
Calculated volume = 25.0 A^3/atom
Uncorrected formation energy = -69 kJ per mole of atoms
Fermi-level density of states = 4.4 states/eV/f.u.



25.
# Tl2Sb2Se5

A geometry-optimized Tl2Sb2Se5 structure (GGA-PBE, the Alexandria database).

a b c (Å): 4.367 8.498 8.586
angles (deg): 65.35 84.29 78.57
Space group P-1 (No. 2)
Unique sites:
Tl: 0.076 0.384 0.299 x2
Sb: 0.330 0.862 0.230 x2
Se: 0.189 0.205 0.960 x2
Se: 0.354 0.969 0.633 x2
Se: 0.500 0.500 0.500 x1

Output
Calculated volume = 31.5 A^3/atom
Uncorrected formation energy = -24 kJ per mole of atoms